Density functional theory data (PBE-GGA) for an optimized crystal structure of ErTm2Sc3NiTe2.

It has space group Amm2 (No. 38), with a = 3.889 Å, b = 13.776 Å, c = 7.969 Å, α = 90.00°, β = 90.00° and γ = 90.00°. The distinct sites, in fractional coordinates, are Er at (0.000, 0.000, 0.000), Tm at (0.000, 0.195, 0.412), Sc at (0.500, 0.000, 0.375), Sc at (0.500, 0.116, 0.724), Ni at (0.000, 0.000, 0.605) and Te at (0.500, 0.167, 0.108).

The size of the total moment is 1.178 μB/cell. The crystal system is orthorhombic. The calculation puts the electronic total energy at -5.639 eV per atom.